CeSi2Ni, single point on PBEsol structure, DFT meta-GGA SCAN; DFT total energy = -0.7731 hartree per atom; size of the total moment = 0.63 μB/cell
1.0
-3.788 0.961 0.900
-1.308 -3.241 -2.042
-0.180 -6.045 5.698
Ce Ni Si
2 2 4
direct
0.750 0.606 0.788 Ce
0.250 0.394 0.212 Ce
0.250 0.180 0.639 Ni
0.750 0.820 0.361 Ni
0.250 0.749 0.501 Si
0.250 0.040 0.920 Si
0.750 0.960 0.080 Si
0.750 0.251 0.499 Si